Entry from the Alexandria database: a relaxed structure of Tm2BeIr (GGA-PBE).

Computed properties:
Its total energy is -5.84 eV/atom. Its formation energy from the elements is -0.46 eV/atom. As for the distance to the lowest polymorph of the same formula: 0.524 eV per formula unit. The space group is P4/mmm (123). The total moment comes out at 0.0000 μB per atom.

The structure in extended XYZ format:
```
4
Lattice="-1.060 1.787 2.753 -2.321 -3.797 1.570 3.844 -1.370 2.369" Properties=species:S:1:pos:R:3 pbc="T T T"
Be 0.231 -1.690 3.347
Tm -1.161 -1.898 0.785
Tm 1.922 -0.685 1.185
Ir -0.530 0.894 1.377
```

***

Entry from the Alexandria database: a relaxed structure of TmBeIr (GGA-PBE).

Computed properties:
Its total energy is -6.18 eV/atom. Its formation energy from the elements is -0.49 eV/atom. As for the distance to the lowest polymorph of the same formula: 0.655 eV per formula unit. The space group is Fddd (70). The total moment comes out at 0.0000 μB per atom.

The structure in extended XYZ format:
```
12
Lattice="-2.462 3.035 -4.728 -3.757 -4.517 1.762 0.521 4.315 5.126" Properties=species:S:1:pos:R:3 pbc="T T T"
Ir -0.795 1.097 1.118
Ir -4.904 1.736 1.041
Ir -3.968 0.626 3.820
Ir -2.378 -1.569 1.584
Tm -2.818 1.282 -1.013
Tm -4.696 -0.977 -0.132
Tm -1.326 1.922 3.914
Tm -2.557 3.439 1.550
Be -3.568 -3.413 0.813
Be -2.984 0.632 1.754
Be -3.362 -1.575 3.651
Be -2.651 1.931 -3.779
```

***

Entry from the Alexandria database: a relaxed structure of TmBeIr (GGA-PBE).

Computed properties:
Its total energy is -6.38 eV/atom. Its formation energy from the elements is -0.70 eV/atom. As for the distance to the lowest polymorph of the same formula: 0.043 eV per formula unit. The space group is P-6m2 (187). The total moment comes out at 0.0000 μB per atom.

The structure in extended XYZ format:
```
3
Lattice="3.914 0.000 0.000 0.000 3.902 0.000 0.000 -1.951 3.379" Properties=species:S:1:pos:R:3 pbc="T T T"
Tm 2.610 0.000 2.253
Be 0.651 1.951 1.126
Ir 0.653 0.000 0.000
```

***

Entry from the Alexandria database: a relaxed structure of YTmBeIr (GGA-PBE).

Computed properties:
Its total energy is -6.31 eV/atom. Its formation energy from the elements is -0.43 eV/atom. The space group is F-43m (216). The total moment comes out at 0.0000 μB per atom.

The structure in extended XYZ format:
```
4
Lattice="-3.226 2.138 -2.866 0.584 -0.101 -4.780 -2.938 -2.667 -2.730" Properties=species:S:1:pos:R:3 pbc="T T T"
Ir -2.790 -0.315 -5.188
Tm -1.395 -0.157 -2.594
Y -4.185 -0.472 -7.782
Be 0.000 0.000 0.000
```